# 1
This record from Alexandria via LeMat-Bulk describes Zr2GaFeBi after structural relaxation. The functional is PBE-GGA.

The total energy comes out at -5.002 eV per atom. The value obtained for the density of states at the Fermi level is 7.51 states/eV/cell. Its magnetization is 2.24 μB/cell.

The space group is P4/mmm (No. 123) and the conventional cell measures 5.4437, 5.4437 and 5.0698 Å, with angles of 90.00, 90.00 and 90.00 degrees. The inequivalent atoms are Zr at (0.0000, 0.5000, 0.0000), Ga at (0.0000, 0.0000, 0.5000), Fe at (0.5000, 0.5000, 0.5000) and Bi at (0.0000, 0.0000, 0.0000).

---

# 2
This record from Alexandria via LeMat-Bulk describes Be2AlAs after structural relaxation. The functional is PBE-GGA.

The total energy comes out at -3.617 eV per atom. The value obtained for the density of states at the Fermi level is 1.27 states/eV/cell. The value obtained for the energy above the most stable polymorph in this dataset is 125 meV/atom. Its magnetization is 0.00 μB/cell.

The space group is P2/m (No. 10) and the conventional cell measures 3.9762, 3.1094 and 4.8470 Å, with angles of 90.00, 113.89 and 90.00 degrees. The inequivalent atoms are Be at (0.0000, 0.0000, 0.0000), Be at (0.5000, 0.5000, 0.5000), Al at (0.0000, 0.0000, 0.5000) and As at (0.5000, 0.5000, 0.0000).

---

# 3
This record from Alexandria via LeMat-Bulk describes BaSrSn4 after structural relaxation. The functional is PBE-GGA.

The total energy comes out at -3.807 eV per atom. The value obtained for the energy above the most stable polymorph in this dataset is 0 meV/atom. Its magnetization is 0.00 μB/cell.

The space group is F-43m (No. 216) and the conventional cell measures 9.1507, 9.1507 and 9.1507 Å, with angles of 90.00, 90.00 and 90.00 degrees. The inequivalent atoms are Ba at (0.0000, 0.0000, 0.0000), Sr at (0.2500, 0.2500, 0.2500) and Sn at (0.1247, 0.1247, 0.6247).

---

Q: Number 3 is which compound?
A: BaSrSn4

---

Q: What is the magnetization in the first record?
A: 2.24 μB/cell